No. 1
## CrIn2Pb (PBE-GGA)

Data for crystalline CrIn2Pb at its relaxed geometry.

Cell: 10.4287 10.4287 10.4287 Å, 18.44 18.44 18.44°
Atoms (fractional coordinates):
In  0.4881  0.4881  0.4881
In  0.0119  0.0119  0.0119
Pb  0.2500  0.2500  0.2500
Cr  0.7500  0.7500  0.7500

Properties
Its formation energy is 0.342 eV/atom. The calculation puts the uncorrected energy at -4.361 eV per atom. The spin magnetization is 3.951 μB per cell. Its space group is R-3m (166).

No. 2
## TbY2S4 (PBE-GGA)

Data for crystalline TbY2S4 at its relaxed geometry.

Cell: 3.9530 6.8927 7.7076 Å, 118.72 104.86 90.00°
Atoms (fractional coordinates):
Y  0.7280  0.7350  0.4560
Y  0.2720  0.2650  0.5440
Tb  0.0000  0.0000  0.0000
S  0.1253  0.8113  0.2505
S  0.8747  0.1887  0.7495
S  0.3613  0.7254  0.7226
S  0.6387  0.2746  0.2774

Properties
The calculation puts the uncorrected energy at -6.893 eV per atom. The spin magnetization is 0.000 μB per cell. Its space group is C2/m (12). The calculation puts the distance to the lowest polymorph of the same formula at 32 meV per atom. The uncorrected formation energy is -195 kJ per mole of atoms.

No. 3
## HgIr2Cl (PBE-GGA)

Data for crystalline HgIr2Cl at its relaxed geometry.

Cell: 6.2713 3.6369 3.6369 Å, 90.00 90.00 90.00°
Atoms (fractional coordinates):
Ir  0.0000  0.0000  0.0000
Hg  0.5000  0.0000  0.5000
Ir  0.0000  0.5000  0.5000
Cl  0.5000  0.5000  0.0000

Properties
The calculation puts the uncorrected energy at -3.926 eV per atom. The spin magnetization is 0.000 μB per cell. Its space group is P4/mmm (123). The calculation puts the distance to the lowest polymorph of the same formula at 734 meV per atom. The uncorrected formation energy is 100 kJ per mole of atoms.

No. 4
## MgTlNiRh (PBE-GGA)

Data for crystalline MgTlNiRh at its relaxed geometry.

Cell: 4.5052 4.5052 4.5052 Å, 60.00 60.00 60.00°
Atoms (fractional coordinates):
Ni  0.2500  0.2500  0.2500
Tl  0.5000  0.5000  0.5000
Rh  0.7500  0.7500  0.7500
Mg  0.0000  0.0000  0.0000

Properties
Its formation energy is -0.104 eV/atom. The calculation puts the uncorrected energy at -4.378 eV per atom. The spin magnetization is 0.001 μB per cell. Its space group is F-43m (216).

No. 5
## La3GaBr2 (PBE-GGA)

Data for crystalline La3GaBr2 at its relaxed geometry.

Cell: 4.5544 6.1470 7.4826 Å, 114.25 107.72 90.00°
Atoms (fractional coordinates):
Br  0.6665  0.1665  0.3329
Br  0.3335  0.8335  0.6671
La  0.0000  0.0000  0.0000
La  0.3420  0.3420  0.6839
La  0.6580  0.6580  0.3161
Ga  0.0000  0.5000  0.0000

Properties
The calculation puts the uncorrected energy at -4.646 eV per atom. The spin magnetization is 0.003 μB per cell. Its space group is Immm (71). The calculation puts the distance to the lowest polymorph of the same formula at 0 meV per atom. The uncorrected formation energy is -108 kJ per mole of atoms.

No. 6
## La2ReNi (PBE-GGA)

Data for crystalline La2ReNi at its relaxed geometry.

Cell: 4.8850 4.8850 4.8850 Å, 60.00 60.00 60.00°
Atoms (fractional coordinates):
La  0.2500  0.2500  0.2500
La  0.0000  0.0000  0.0000
Re  0.7500  0.7500  0.7500
Ni  0.5000  0.5000  0.5000

Properties
Its formation energy is 0.427 eV/atom. The calculation puts the uncorrected energy at -6.594 eV per atom. The spin magnetization is 0.001 μB per cell. Its space group is F-43m (216). The calculation puts the distance to the lowest polymorph of the same formula at 373 meV per atom.

No. 7
## CaRe2H2 (PBE-GGA)

Data for crystalline CaRe2H2 at its relaxed geometry.

Cell: 7.3586 7.3586 2.7095 Å, 90.00 90.00 90.00°
Atoms (fractional coordinates):
Re  0.3883  0.8883  0.0000
Re  0.6117  0.1117  0.0000
Re  0.1117  0.3883  0.0000
H  0.8968  0.3968  0.5000
Re  0.8883  0.6117  0.0000
Ca  0.0000  0.0000  0.0000
Ca  0.5000  0.5000  0.0000
H  0.3968  0.1032  0.5000
H  0.6032  0.8968  0.5000
H  0.1032  0.6032  0.5000

Properties
The calculation puts the uncorrected energy at -5.732 eV per atom. The spin magnetization is 0.000 μB per cell. Its space group is P4/mbm (127). The calculation puts the distance to the lowest polymorph of the same formula at 462 meV per atom.

No. 8
## YCuIr2 (PBE-GGA)

Data for crystalline YCuIr2 at its relaxed geometry.

Cell: 4.5633 4.5633 4.5633 Å, 60.00 60.00 60.00°
Atoms (fractional coordinates):
Cu  0.0000  0.0000  0.0000
Y  0.5000  0.5000  0.5000
Ir  0.7500  0.7500  0.7500
Ir  0.2500  0.2500  0.2500

Properties
Its formation energy is -0.084 eV/atom. The calculation puts the uncorrected energy at -7.154 eV per atom. The spin magnetization is 0.000 μB per cell. Its space group is Fm-3m (225). The calculation puts the distance to the lowest polymorph of the same formula at 207 meV per atom.

No. 9
## LiFe2Te (PBE-GGA)

Data for crystalline LiFe2Te at its relaxed geometry.

Cell: 4.8982 4.8982 3.7656 Å, 67.36 67.36 45.30°
Atoms (fractional coordinates):
Te  0.2500  0.2500  0.2500
Fe  0.0000  0.0000  0.0001
Li  0.7500  0.7500  0.7500
Fe  0.5000  0.5000  0.4999

Properties
The calculation puts the uncorrected energy at -5.402 eV per atom. The spin magnetization is 5.055 μB per cell. Its space group is I4/mmm (139). The uncorrected formation energy is 9 kJ per mole of atoms.

No. 10
## Y2TaSb (PBE-GGA)

Data for crystalline Y2TaSb at its relaxed geometry.

Cell: 3.8503 3.8526 7.7942 Å, 60.37 90.00 90.00°
Atoms (fractional coordinates):
Sb  0.5000  0.2500  0.2500
Y  0.0000  0.5005  0.4995
Ta  0.5000  0.7500  0.7500
Y  0.0000  0.9995  0.0005

Properties
The calculation puts the uncorrected energy at -7.388 eV per atom. The spin magnetization is 0.523 μB per cell. Its space group is P4/mmm (123). The uncorrected formation energy is -16 kJ per mole of atoms.

No. 11
## Ba3Mg (PBE-GGA)

Data for crystalline Ba3Mg at its relaxed geometry.

Cell: 9.0622 11.7498 8.1102 Å, 90.00 90.00 90.00°
Atoms (fractional coordinates):
Ba  0.8113  0.9516  0.6737
Ba  0.9866  0.7500  0.0990
Ba  0.3113  0.9516  0.8263
Ba  0.5134  0.2500  0.5990
Ba  0.0134  0.2500  0.9010
Ba  0.4866  0.7500  0.4010
Mg  0.5996  0.7500  0.9539
Ba  0.8113  0.5484  0.6737
Ba  0.1887  0.0484  0.3263
Mg  0.9004  0.2500  0.4539
Ba  0.1887  0.4516  0.3263
Mg  0.4004  0.2500  0.0461
Ba  0.6887  0.4516  0.1737
Ba  0.3113  0.5484  0.8263
Ba  0.6887  0.0484  0.1737
Mg  0.0996  0.7500  0.5461

Properties
Its formation energy is 0.029 eV/atom. The calculation puts the uncorrected energy at -1.811 eV per atom. The spin magnetization is 0.001 μB per cell. Its space group is Pnma (62). The calculation puts the distance to the lowest polymorph of the same formula at 44 meV per atom.

No. 12
## La12PrY7 (PBE-GGA)

Data for crystalline La12PrY7 at its relaxed geometry.

Cell: 6.9339 11.2439 11.2439 Å, 64.11 78.14 101.86°
Atoms (fractional coordinates):
La  0.2055  0.9355  0.5425
La  0.2894  0.2158  0.2082
La  0.7300  0.4779  0.0645
La  0.4976  0.2082  0.5760
La  0.7106  0.7842  0.7918
La  0.7945  0.0645  0.4575
Y  0.5000  0.0000  0.0000
Y  0.6165  0.6970  0.1624
Y  0.2212  0.8376  0.8594
La  0.9264  0.4240  0.7842
Pr  0.0000  0.0000  0.0000
Y  0.9195  0.1406  0.6970
Y  0.7788  0.1624  0.1406
Y  0.3835  0.3030  0.8376
La  0.2700  0.5221  0.9355
La  0.5024  0.7918  0.4240
Y  0.0805  0.8594  0.3030
La  0.0736  0.5760  0.2158
La  0.7479  0.5425  0.5221
La  0.2521  0.4575  0.4779

Properties
Its formation energy is 0.257 eV/atom. The calculation puts the uncorrected energy at -5.200 eV per atom. The spin magnetization is 0.000 μB per cell. Its space group is R-3 (148). The calculation puts the distance to the lowest polymorph of the same formula at 174 meV per atom.

No. 13
## AlGa2Au3 (PBE-GGA)

Data for crystalline AlGa2Au3 at its relaxed geometry.

Cell: 3.7295 5.2873 10.9438 Å, 90.00 90.00 90.00°
Atoms (fractional coordinates):
Ga  0.0000  0.1670  0.3322
Au  0.0000  0.6741  0.6590
Au  0.5000  0.3259  0.8410
Au  0.0000  0.6716  0.0000
Au  0.0000  0.6741  0.3410
Al  0.5000  0.8413  0.5000
Ga  0.5000  0.8330  0.1678
Au  0.5000  0.3284  0.5000
Au  0.5000  0.3259  0.1590
Al  0.0000  0.1587  0.0000
Ga  0.0000  0.1670  0.6678
Ga  0.5000  0.8330  0.8322

Properties
Its formation energy is -0.249 eV/atom. The calculation puts the uncorrected energy at -3.520 eV per atom. The spin magnetization is 0.000 μB per cell. Its space group is Pmmn (59).

No. 14
## Ac6Ir3Rh2Pb (PBE-GGA)

Data for crystalline Ac6Ir3Rh2Pb at its relaxed geometry.

Cell: 4.3111 9.0134 9.9443 Å, 106.23 102.52 90.00°
Atoms (fractional coordinates):
Ir  0.5000  0.5000  0.0000
Ac  0.0034  0.7183  0.0067
Rh  0.1603  0.3152  0.3205
Ir  0.8356  0.1789  0.6712
Ac  0.9966  0.2817  0.9933
Ac  0.3301  0.4252  0.6602
Ir  0.1644  0.8211  0.3288
Pb  0.5000  0.0000  0.0000
Ac  0.6699  0.5748  0.3398
Ac  0.6790  0.0765  0.3580
Rh  0.8397  0.6848  0.6795
Ac  0.3210  0.9235  0.6420

Properties
Its formation energy is -0.450 eV/atom. The calculation puts the uncorrected energy at -6.254 eV per atom. The spin magnetization is 0.000 μB per cell. Its space group is C2/m (12).

No. 15
## Ac8Pr5Nd (PBE-GGA)

Data for crystalline Ac8Pr5Nd at its relaxed geometry.

Cell: 9.2324 9.1703 9.2286 Å, 114.69 100.40 114.02°
Atoms (fractional coordinates):
Ac  0.0708  0.7581  0.4229
Ac  0.4890  0.5535  0.2588
Pr  0.9795  0.2537  0.1044
Ac  0.2185  0.7479  0.0808
Pr  0.8507  0.7465  0.7261
Nd  0.0963  0.5000  0.5962
Pr  0.8568  0.9514  0.2617
Ac  0.5388  0.7911  0.8560
Ac  0.6650  0.2419  0.3131
Pr  0.3105  0.0485  0.9055
Pr  0.5709  0.0001  0.5709
Ac  0.0650  0.2089  0.7477
Ac  0.7053  0.4466  0.9356
Ac  0.3327  0.2519  0.4704

Properties
Its formation energy is 0.168 eV/atom. The calculation puts the uncorrected energy at -4.228 eV per atom. The spin magnetization is 0.000 μB per cell. Its space group is C2 (5).

No. 16
## HPd2W (PBE-GGA)

Data for crystalline HPd2W at its relaxed geometry.

Cell: 4.2896 4.2896 4.2896 Å, 60.00 60.00 60.00°
Atoms (fractional coordinates):
Pd  0.7500  0.7500  0.7500
W  0.5000  0.5000  0.5000
H  0.0000  0.0000  0.0000
Pd  0.2500  0.2500  0.2500

Properties
The calculation puts the uncorrected energy at -5.836 eV per atom. The spin magnetization is 0.000 μB per cell. Its space group is Fm-3m (225). The calculation puts the distance to the lowest polymorph of the same formula at 430 meV per atom.

No. 17
## AgSbTe2 (PBE-GGA)

Data for crystalline AgSbTe2 at its relaxed geometry.

Cell: 6.1661 6.1661 11.9770 Å, 90.00 90.00 90.00°
Atoms (fractional coordinates):
Te  0.0000  0.0000  0.2500
Te  0.5000  0.0000  0.9959
Sb  0.0000  0.5000  0.7500
Ag  0.5000  0.5000  0.5000
Ag  0.0000  0.5000  0.2500
Ag  0.5000  0.0000  0.7500
Te  0.0000  0.5000  0.0041
Te  0.5000  0.0000  0.5041
Te  0.0000  0.0000  0.0000
Te  0.0000  0.0000  0.5000
Te  0.0000  0.0000  0.7500
Sb  0.5000  0.5000  0.2500
Sb  0.5000  0.5000  0.7500
Sb  0.5000  0.0000  0.2500
Ag  0.5000  0.5000  0.0000
Te  0.0000  0.5000  0.4959

Properties
The calculation puts the uncorrected energy at -3.267 eV per atom. The spin magnetization is 0.000 μB per cell. Its space group is P4_2/mmc (131). The uncorrected formation energy is 5 kJ per mole of atoms.

No. 18
## Sc2TeAs (PBE-GGA)

Data for crystalline Sc2TeAs at its relaxed geometry.

Cell: 9.6321 9.6321 9.6321 Å, 20.89 20.89 20.89°
Atoms (fractional coordinates):
Sc  0.0095  0.0095  0.0095
Te  0.5036  0.5036  0.5036
Sc  0.2455  0.2455  0.2455
As  0.7414  0.7414  0.7414

Properties
The calculation puts the uncorrected energy at -5.379 eV per atom. The spin magnetization is 0.783 μB per cell. Its space group is R3m (160). The uncorrected formation energy is -26 kJ per mole of atoms.

No. 19
## URuS (PBE-GGA)

Data for crystalline URuS at its relaxed geometry.

Cell: 3.4803 3.4803 5.0597 Å, 110.12 110.12 90.00°
Atoms (fractional coordinates):
Ru  0.5981  0.5981  0.1962
U  0.9559  0.9559  0.9118
S  0.2960  0.2960  0.5920

Properties
The calculation puts the uncorrected energy at -8.642 eV per atom. The spin magnetization is 0.001 μB per cell. Its space group is I4mm (107). The uncorrected formation energy is -40 kJ per mole of atoms.

No. 20
## Ba2CdAu (PBE-GGA)

Data for crystalline Ba2CdAu at its relaxed geometry.

Cell: 9.0594 9.0594 7.6250 Å, 53.55 53.55 90.00°
Atoms (fractional coordinates):
Cd  0.2500  0.7500  0.5000
Cd  0.5000  0.5000  0.0000
Ba  0.8750  0.9045  0.7500
Ba  0.3750  0.3455  0.7500
Ba  0.0955  0.6250  0.2500
Au  0.7500  0.2500  0.5000
Ba  0.6545  0.1250  0.2500
Au  0.0000  0.0000  0.0000

Properties
Its formation energy is -0.267 eV/atom. The calculation puts the uncorrected energy at -2.276 eV per atom. The spin magnetization is 0.000 μB per cell. Its space group is I-42d (122).

No. 21
## CaVS2Cl (PBE-GGA)

Data for crystalline CaVS2Cl at its relaxed geometry.

Cell: 5.2614 5.2614 5.0185 Å, 90.00 90.00 90.00°
Atoms (fractional coordinates):
S  0.0000  0.5000  0.0000
S  0.5000  0.0000  0.0000
V  0.5000  0.5000  0.5000
Cl  0.0000  0.0000  0.5000
Ca  0.0000  0.0000  0.0000

Properties
The calculation puts the uncorrected energy at -4.304 eV per atom. The spin magnetization is 2.078 μB per cell. Its space group is P4/mmm (123). The calculation puts the distance to the lowest polymorph of the same formula at 1037 meV per atom. The uncorrected formation energy is -6 kJ per mole of atoms.

No. 22
## InSiAg (PBE-GGA)

Data for crystalline InSiAg at its relaxed geometry.

Cell: 6.0208 6.3095 3.6421 Å, 73.30 107.44 94.82°
Atoms (fractional coordinates):
In  0.2027  0.2904  0.5311
Ag  0.5700  0.3964  0.1612
Ag  0.8118  0.1076  0.9259
In  0.4922  0.8209  0.4085
Si  0.9111  0.6612  0.1963
Si  0.0826  0.8474  0.6887

Properties
The calculation puts the uncorrected energy at -3.466 eV per atom. The spin magnetization is 0.000 μB per cell. Its space group is P1 (1). The uncorrected formation energy is 20 kJ per mole of atoms.

No. 23
## CsIn9Ag2 (PBE-GGA)

Data for crystalline CsIn9Ag2 at its relaxed geometry.

Cell: 8.4698 9.8042 9.8042 Å, 79.25 64.41 64.41°
Atoms (fractional coordinates):
In  0.0710  0.9263  0.3204
Ag  0.8750  0.7500  0.2500
In  0.0027  0.6796  0.9263
In  0.3177  0.6796  0.0737
In  0.0027  0.9263  0.6796
In  0.7500  0.5000  0.5000
In  0.6790  0.1796  0.5737
In  0.4323  0.4263  0.8204
In  0.7473  0.5737  0.8204
Ag  0.8750  0.2500  0.7500
In  0.6086  0.0737  0.3204
In  0.6086  0.3204  0.0737
In  0.0710  0.3204  0.9263
Ag  0.3750  0.7500  0.7500
Cs  0.2500  0.5000  0.5000
In  0.1414  0.1796  0.4263
In  0.6790  0.5737  0.1796
In  0.0000  0.0000  0.0000
Ag  0.8750  0.2500  0.2500
In  0.3177  0.0737  0.6796
Cs  0.5000  0.0000  0.0000
In  0.4323  0.8204  0.4263
In  0.1414  0.4263  0.1796
In  0.7473  0.8204  0.5737

Properties
Its formation energy is -0.043 eV/atom. The calculation puts the uncorrected energy at -2.644 eV per atom. The spin magnetization is 0.000 μB per cell. Its space group is I4_1/amd (141).

No. 24
## TlZn2GeIr (PBE-GGA)

Data for crystalline TlZn2GeIr at its relaxed geometry.

Cell: 4.9627 4.6814 4.9627 Å, 90.00 90.00 90.00°
Atoms (fractional coordinates):
Tl  0.5000  0.5000  0.5000
Ge  0.0000  0.5000  0.0000
Zn  0.5000  0.0000  0.0000
Ir  0.0000  0.0000  0.0000
Zn  0.0000  0.0000  0.5000

Properties
Its formation energy is -0.028 eV/atom. The calculation puts the uncorrected energy at -3.706 eV per atom. The spin magnetization is 0.000 μB per cell. Its space group is P4/mmm (123).